# Ca4MnO5 (GGA+U, optimized geometry)
# * VASP energy: -67.1 eV per formula unit
# * crystal system: tetragonal
data_Ca4MnO5
_space_group_name_H-M_alt 'I 4'
_space_group_IT_number 79
_space_group_name_Hall 'I 4'
_cell_length_a 7.5303
_cell_length_b 7.5303
_cell_length_c 4.7906
_cell_angle_alpha 90.00
_cell_angle_beta 90.00
_cell_angle_gamma 90.00
loop_
_atom_site_label
_atom_site_fract_x
_atom_site_fract_y
_atom_site_fract_z
Ca1 0.1009 0.2974 0.0000
Mn1 0.0000 0.0000 0.4991
O1 0.0000 0.0000 0.0011
O2 0.0962 0.2929 0.5001